Entry from Alexandria via LeMat-Bulk: a relaxed CdHg2 crystal (PBEsol).

a = 6.948 Å, b = 6.948 Å, c = 5.743 Å
α = 90.00°, β = 90.00°, γ = 90.00°
Space group I4/mcm (No. 140)
Asymmetric unit:
Cd: 0.000 0.000 0.250 x4
Hg: 0.149 0.351 0.000 x8

Properties
total DFT energy (no corrections)	-0.762	eV/atom
energy of formation from the pure elements	15	meV/atom



Entry from Alexandria via LeMat-Bulk: a relaxed SrCuB2 crystal (PBEsol).

a = 4.139 Å, b = 4.139 Å, c = 13.953 Å
α = 90.00°, β = 90.00°, γ = 90.00°
Space group I4_1/amd (No. 141, origin choice 2)
Asymmetric unit:
Sr: 0.000 0.250 0.375 x4
Cu: 0.000 0.250 0.875 x4
B: 0.000 0.000 0.000 x8

Properties
total DFT energy (no corrections)	-4.661	eV/atom
energy of formation from the pure elements	391	meV/atom



Entry from Alexandria via LeMat-Bulk: a relaxed LaN2F2 crystal (PBEsol).

a = 4.942 Å, b = 4.942 Å, c = 4.479 Å
α = 90.00°, β = 90.00°, γ = 90.00°
Space group P4/mmm (No. 123)
Asymmetric unit:
La: 0.000 0.000 0.000 x1
N: 0.000 0.500 0.000 x2
F: 0.000 0.000 0.500 x1
F: 0.500 0.500 0.500 x1

Properties
total DFT energy (no corrections)	-5.341	eV/atom
ΔE_f (raw)	-0.090	eV/atom



Entry from Alexandria via LeMat-Bulk: a relaxed CrCu2Ag crystal (PBEsol).

a = 2.992 Å, b = 3.080 Å, c = 5.800 Å
α = 90.00°, β = 90.00°, γ = 90.00°
Space group Pmmm (No. 47)
Asymmetric unit:
Cr: 0.000 0.000 0.000 x1
Cu: 0.500 0.500 0.234 x2
Ag: 0.000 0.000 0.500 x1

Properties
total DFT energy (no corrections)	-5.222	eV/atom
energy of formation from the pure elements	333	meV/atom



Entry from Alexandria via LeMat-Bulk: a relaxed YZrIn2 crystal (PBEsol).

a = 4.614 Å, b = 4.614 Å, c = 8.633 Å
α = 90.00°, β = 90.00°, γ = 90.00°
Space group I4/mmm (No. 139)
Asymmetric unit:
Y: 0.000 0.000 0.000 x2
Zr: 0.000 0.000 0.500 x2
In: 0.000 0.500 0.250 x4

Properties
total DFT energy (no corrections)	-5.880	eV/atom
energy of formation from the pure elements	-410	meV/atom



Entry from Alexandria via LeMat-Bulk: a relaxed Mg2SnO4 crystal (PBEsol).

a = 6.058 Å, b = 6.239 Å, c = 8.623 Å
α = 90.00°, β = 90.00°, γ = 90.00°
Space group Imma (No. 74)
Asymmetric unit:
Mg: 0.000 0.250 0.138 x4
Mg: 0.250 0.250 0.750 x4
Sn: 0.000 0.000 0.500 x4
O: 0.000 0.018 0.736 x8
O: 0.234 0.250 0.504 x8

Properties
total DFT energy (no corrections)	-6.399	eV/atom
ΔE_f (raw)	-2.301	eV/atom



Entry from Alexandria via LeMat-Bulk: a relaxed LiIn2Hg crystal (PBEsol).

a = 5.996 Å, b = 8.754 Å, c = 3.345 Å
α = 90.00°, β = 90.00°, γ = 90.00°
Space group Cmmm (No. 65)
Asymmetric unit:
Li: 0.000 0.000 0.000 x2
In: 0.250 0.250 0.500 x4
Hg: 0.000 0.500 0.000 x2

Properties
total DFT energy (no corrections)	-2.284	eV/atom
energy of formation from the pure elements	-159	meV/atom



Entry from Alexandria via LeMat-Bulk: a relaxed MgMnBe3 crystal (PBEsol).

a = 4.262 Å, b = 4.262 Å, c = 4.262 Å
α = 90.00°, β = 90.00°, γ = 90.00°
Space group Pm-3m (No. 221)
Asymmetric unit:
Mg: 0.000 0.000 0.000 x1
Mn: 0.500 0.500 0.500 x1
Be: 0.000 0.000 0.500 x3

Properties
total DFT energy (no corrections)	-3.083	eV/atom
energy of formation from the pure elements	1613	meV/atom



Entry from Alexandria via LeMat-Bulk: a relaxed SrHf2Rh2 crystal (PBEsol).

a = 4.762 Å, b = 4.762 Å, c = 10.327 Å
α = 90.00°, β = 90.00°, γ = 90.00°
Space group I4/mmm (No. 139)
Asymmetric unit:
Sr: 0.000 0.000 0.000 x2
Hf: 0.000 0.000 0.344 x4
Rh: 0.000 0.500 0.250 x4

Properties
total DFT energy (no corrections)	-8.022	eV/atom
energy of formation from the pure elements	-197	meV/atom



Entry from Alexandria via LeMat-Bulk: a relaxed Tm2ZnHg crystal (PBEsol).

a = 7.089 Å, b = 7.089 Å, c = 7.089 Å
α = 90.00°, β = 90.00°, γ = 90.00°
Space group Fm-3m (No. 225)
Asymmetric unit:
Tm: 0.250 0.250 0.250 x8
Zn: 0.000 0.000 0.000 x4
Hg: 0.000 0.000 0.500 x4

Properties
total DFT energy (no corrections)	-3.442	eV/atom
energy of formation from the pure elements	-455	meV/atom



Entry from Alexandria via LeMat-Bulk: a relaxed ZnCu crystal (PBEsol).

a = 4.9384 Å, b = 4.9384 Å, c = 4.1301 Å
α = 90.00°, β = 90.00°, γ = 120.00°
Space group P6/mmm (No. 191)
Asymmetric unit:
Zn: 0.0000 0.0000 0.0000 x1
Zn: 0.3333 0.6667 0.5000 x2
Cu: 0.0000 0.5000 0.0000 x3

Properties
total DFT energy (no corrections)	-2.928	eV/atom
energy of formation from the pure elements	30	meV/atom



Entry from Alexandria via LeMat-Bulk: a relaxed ZrAl2Cl crystal (PBEsol).

a = 10.969 Å, b = 3.033 Å, c = 4.430 Å
α = 90.00°, β = 96.87°, γ = 90.00°
Space group C2/m (No. 12)
Asymmetric unit:
Zr: 0.000 0.000 0.000 x2
Al: 0.234 0.500 0.237 x4
Cl: 0.000 0.500 0.500 x2

Properties
total DFT energy (no corrections)	-5.121	eV/atom
ΔE_f (raw)	-0.300	eV/atom



Entry from Alexandria via LeMat-Bulk: a relaxed ZrCu2Ag crystal (PBEsol).

a = 2.904 Å, b = 3.388 Å, c = 6.221 Å
α = 90.00°, β = 90.00°, γ = 90.00°
Space group Pmmm (No. 47)
Asymmetric unit:
Zr: 0.000 0.000 0.000 x1
Cu: 0.500 0.500 0.272 x2
Ag: 0.000 0.000 0.500 x1

Properties
total DFT energy (no corrections)	-5.295	eV/atom
energy of formation from the pure elements	-28	meV/atom



Entry from Alexandria via LeMat-Bulk: a relaxed CsLa2Pb crystal (PBEsol).

a = 7.987 Å, b = 7.987 Å, c = 7.987 Å
α = 90.00°, β = 90.00°, γ = 90.00°
Space group Fm-3m (No. 225)
Asymmetric unit:
Cs: 0.000 0.000 0.000 x4
La: 0.250 0.250 0.250 x8
Pb: 0.000 0.000 0.500 x4

Properties
total DFT energy (no corrections)	-3.927	eV/atom
energy of formation from the pure elements	-19	meV/atom



Entry from Alexandria via LeMat-Bulk: a relaxed VC2O6 crystal (PBEsol).

a = 8.244 Å, b = 8.655 Å, c = 6.898 Å
α = 90.00°, β = 109.56°, γ = 90.00°
Space group C2/c (No. 15)
Asymmetric unit:
V: 0.000 0.175 0.250 x4
C: 0.194 0.105 0.689 x8
O: 0.068 0.163 0.540 x8
O: 0.160 0.327 0.245 x8
O: 0.175 0.019 0.280 x8

Properties
total DFT energy (no corrections)	-8.302	eV/atom
ΔE_f (raw)	-1.589	eV/atom



Entry from Alexandria via LeMat-Bulk: a relaxed Tl2Cd crystal (PBEsol).

a = 5.3087 Å, b = 5.3087 Å, c = 6.4587 Å
α = 90.00°, β = 90.00°, γ = 120.00°
Space group P6_3/mmc (No. 194)
Asymmetric unit:
Tl: 0.0000 0.0000 0.0000 x2
Tl: 0.3333 0.6667 0.2500 x2
Cd: 0.3333 0.6667 0.7500 x2

Properties
total DFT energy (no corrections)	-2.091	eV/atom
energy of formation from the pure elements	61	meV/atom



Entry from Alexandria via LeMat-Bulk: a relaxed Zr3SiP crystal (PBEsol).

a = 4.759 Å, b = 4.759 Å, c = 4.759 Å
α = 90.00°, β = 90.00°, γ = 90.00°
Space group Pm-3m (No. 221)
Asymmetric unit:
Zr: 0.000 0.000 0.500 x3
Si: 0.500 0.500 0.500 x1
P: 0.000 0.000 0.000 x1

Properties
total DFT energy (no corrections)	-7.959	eV/atom
ΔE_f (raw)	-0.197	eV/atom



Entry from Alexandria via LeMat-Bulk: a relaxed SrMn2Re crystal (PBEsol).

a = 6.402 Å, b = 6.402 Å, c = 6.402 Å
α = 90.00°, β = 90.00°, γ = 90.00°
Space group F-43m (No. 216)
Asymmetric unit:
Sr: 0.000 0.000 0.000 x4
Mn: 0.000 0.000 0.500 x4
Mn: 0.250 0.250 0.750 x4
Re: 0.250 0.250 0.250 x4

Properties
total DFT energy (no corrections)	-7.503	eV/atom
energy of formation from the pure elements	1171	meV/atom



Entry from Alexandria via LeMat-Bulk: a relaxed Cr2RuBr crystal (PBEsol).

a = 6.000 Å, b = 6.000 Å, c = 6.000 Å
α = 90.00°, β = 90.00°, γ = 90.00°
Space group F-43m (No. 216)
Asymmetric unit:
Cr: 0.000 0.000 0.000 x4
Cr: 0.250 0.250 0.250 x4
Ru: 0.250 0.250 0.750 x4
Br: 0.000 0.000 0.500 x4

Properties
total DFT energy (no corrections)	-7.223	eV/atom
ΔE_f (raw)	0.908	eV/atom



Entry from Alexandria via LeMat-Bulk: a relaxed Sc3CrSb crystal (PBEsol).

a = 4.768 Å, b = 4.768 Å, c = 4.768 Å
α = 90.00°, β = 90.00°, γ = 90.00°
Space group Pm-3m (No. 221)
Asymmetric unit:
Sc: 0.000 0.000 0.500 x3
Cr: 0.000 0.000 0.000 x1
Sb: 0.500 0.500 0.500 x1

Properties
total DFT energy (no corrections)	-6.778	eV/atom
ΔE_f (raw)	0.145	eV/atom



no.,D(E_F) (states/eV per atom)
1,0.313
2,0.463
3,1.069
4,0.753
5,0.968
6,0.000
7,0.417
8,0.424
9,0.918
10,0.752
11,0.396
12,0.540
13,0.576
14,1.426
15,0.363
16,0.494
17,1.102
18,0.978
19,0.976
20,0.996